1.
First-principles (meta-GGA SCAN) data for Tb3Se2NO at its PBEsol-relaxed geometry, as listed in the Alexandria database.

a b c (Å): 3.8749 7.9346 9.6382
angles (deg): 97.42 90.00 104.13
Atoms (fractional coordinates):
Tb  0.9538  0.9077  0.7400
O  0.5367  0.0734  0.1390
Se  0.6294  0.2588  0.4717
Tb  0.3918  0.7835  0.0550
N  0.0968  0.1935  0.8117
Tb  0.0462  0.0923  0.2600
Tb  0.8034  0.6067  0.3258
O  0.4633  0.9266  0.8610
Tb  0.6082  0.2165  0.9450
Se  0.3706  0.7412  0.5283
N  0.9032  0.8065  0.1883
Tb  0.1966  0.3933  0.6742
Se  0.2131  0.4262  0.1485
Se  0.7869  0.5738  0.8515

Output
total magnetization	0.000	μB/f.u.
energy relative to the elements, uncorrected	-2.5717	eV/atom
calculated density	7.8	g/cm³
total DFT energy (no corrections)	-30.5669	eV per atom
space group	No. 12



2.
First-principles (meta-GGA SCAN) data for LiRhSe2 at its PBEsol-relaxed geometry, as listed in the Alexandria database.

a b c (Å): 3.7118 3.7118 5.2482
angles (deg): 110.71 110.71 90.00
Atoms (fractional coordinates):
Li  0.5000  0.5000  0.0000
Rh  0.2500  0.7500  0.5000
Se  0.0000  0.0000  0.0000
Se  0.7500  0.2500  0.5000

Output
total magnetization	0.000	μB/f.u.
energy relative to the elements, uncorrected	-0.1994	eV/atom
calculated density	7.1	g/cm³
total DFT energy (no corrections)	-19.2789	eV per atom
space group	No. 119



3.
First-principles (meta-GGA SCAN) data for MgAs2Au at its PBEsol-relaxed geometry, as listed in the Alexandria database.

a b c (Å): 3.8551 4.9303 4.5138
angles (deg): 105.82 90.00 90.00
Atoms (fractional coordinates):
As  0.0000  0.1926  0.2390
Au  0.5000  0.0000  0.5000
As  0.0000  0.8074  0.7610
Mg  0.5000  0.5000  0.0000

Output
formation enthalpy at 0 K	-5.67	kcal/mol of atoms
total magnetization	0.000	μB/f.u.
calculated density	7.5	g/cm³
total DFT energy (no corrections)	-28.8740	eV per atom
space group	No. 10



4.
First-principles (meta-GGA SCAN) data for NiN2F14 at its PBEsol-relaxed geometry, as listed in the Alexandria database.

a b c (Å): 6.6247 6.6247 6.6247
angles (deg): 88.88 60.64 119.36
Site moments in Bohr magnetons follow the coordinates.
Atoms (fractional coordinates):
Ni  0.0000  0.0000  0.0000  0.13
F  0.3664  0.2336  0.8672  0.02
F  0.2786  0.5877  0.9738  0.00
F  0.7214  0.4123  0.0262  0.00
N  0.5000  0.2500  0.2500  0.00
F  0.0000  0.1926  0.8074  0.05
F  0.0000  0.8074  0.1926  0.05
F  0.4385  0.6909  0.5877  0.00
F  0.6336  0.7664  0.1328  0.02
F  0.4385  0.0262  0.2524  0.00
N  0.5000  0.7500  0.7500  0.00
F  0.2786  0.2524  0.3091  0.00
F  0.7214  0.7476  0.6909  0.00
F  0.1007  0.8672  0.7664  0.02
F  0.8993  0.1328  0.2336  0.02
F  0.5615  0.3091  0.4123  0.00
F  0.5615  0.9738  0.7476  0.00

Output
total magnetization	0.325	μB/f.u.
energy relative to the elements, uncorrected	-0.7715	eV/atom
calculated density	2.8	g/cm³
total DFT energy (no corrections)	-5.7313	eV per atom
space group	No. 87



5.
First-principles (meta-GGA SCAN) data for Ta4BeRe at its PBEsol-relaxed geometry, as listed in the Alexandria database.

a b c (Å): 5.2566 5.2566 5.2566
angles (deg): 60.00 60.00 60.00
Atoms (fractional coordinates):
Be  0.7500  0.7500  0.7500
Re  0.0000  0.0000  0.0000
Ta  0.3745  0.3745  0.8765
Ta  0.8765  0.3745  0.3745
Ta  0.3745  0.3745  0.3745
Ta  0.3745  0.8765  0.3745

Output
formation enthalpy at 0 K	14.47	kcal/mol of atoms
total magnetization	0.003	μB/f.u.
calculated density	14.9	g/cm³
total DFT energy (no corrections)	-56.3364	eV per atom
space group	No. 216



6.
First-principles (meta-GGA SCAN) data for AgPt2Au at its PBEsol-relaxed geometry, as listed in the Alexandria database.

a b c (Å): 2.7833 2.7833 8.1358
angles (deg): 90.00 90.00 90.00
Atoms (fractional coordinates):
Au  0.5000  0.5000  0.7540
Ag  0.0000  0.0000  0.4949
Pt  0.0000  0.0000  0.0070
Pt  0.5000  0.5000  0.2440

Output
formation enthalpy at 0 K	0.55	kcal/mol of atoms
total magnetization	0.014	μB/f.u.
distance to the lowest polymorph of the same formula	24	meV per atom
calculated density	18.3	g/cm³
total DFT energy (no corrections)	-60.2035	eV per atom
space group	No. 99



What did the third record say?
First-principles (meta-GGA SCAN) data for MgAs2Au at its PBEsol-relaxed geometry, as listed in the Alexandria database.

a b c (Å): 3.8551 4.9303 4.5138
angles (deg): 105.82 90.00 90.00
Atoms (fractional coordinates):
As  0.0000  0.1926  0.2390
Au  0.5000  0.0000  0.5000
As  0.0000  0.8074  0.7610
Mg  0.5000  0.5000  0.0000

Output
formation enthalpy at 0 K	-5.67	kcal/mol of atoms
total magnetization	0.000	μB/f.u.
calculated density	7.5	g/cm³
total DFT energy (no corrections)	-28.8740	eV per atom
space group	No. 10



The highest total magnetization belongs to which entry?
NiN2F14